Below is a geometry-optimized Ac2BeGe2Au4 structure, with properties calculated at the PBE-GGA level.

The energy of formation from the pure elements comes out at -508 meV per atom.

The structure belongs to space group I4/mmm (No. 139); the cell edges are 6.495, 6.495 and 9.905 Å and the angles 90.00°, 90.00° and 90.00°. The asymmetric unit holds Ac at (0.000, 0.500, 0.250), Be at (0.000, 0.000, 0.000), Ge at (0.000, 0.000, 0.342) and Au at (0.249, 0.249, 0.500).



Below is a geometry-optimized Ac2BeGe4Au3 structure, with properties calculated at the PBE-GGA level.

The energy of formation from the pure elements comes out at -512 meV per atom.

The structure belongs to space group P-4m2 (No. 115); the cell edges are 4.493, 4.493 and 10.716 Å and the angles 90.00°, 90.00° and 90.00°. The asymmetric unit holds Ac at (0.000, 0.500, 0.241), Be at (0.500, 0.500, 0.000), Ge at (0.000, 0.000, 0.500), Ge at (0.000, 0.500, 0.877), Ge at (0.500, 0.500, 0.500), Au at (0.000, 0.000, 0.000) and Au at (0.000, 0.500, 0.636).



Below is a geometry-optimized Ac2BeGeAu6 structure, with properties calculated at the PBE-GGA level.

The energy of formation from the pure elements comes out at -525 meV per atom.

The structure belongs to space group C2/m (No. 12); the cell edges are 11.464, 6.602 and 7.105 Å and the angles 90.00°, 122.91° and 90.00°. The asymmetric unit holds Ac at (0.222, 0.000, 0.170), Be at (0.000, 0.000, 0.500), Ge at (0.000, 0.500, 0.000), Au at (0.025, 0.266, 0.315) and Au at (0.239, 0.000, 0.679).



Below is a geometry-optimized Ac2Be4Ge3Au structure, with properties calculated at the PBE-GGA level.

The energy of formation from the pure elements comes out at -368 meV per atom.

The structure belongs to space group P-4m2 (No. 115); the cell edges are 4.261, 4.261 and 9.985 Å and the angles 90.00°, 90.00° and 90.00°. The asymmetric unit holds Ac at (0.000, 0.500, 0.242), Be at (0.000, 0.000, 0.000), Be at (0.000, 0.500, 0.627), Be at (0.500, 0.500, 0.000), Ge at (0.000, 0.500, 0.876), Ge at (0.500, 0.500, 0.500) and Au at (0.000, 0.000, 0.500).



Below is a geometry-optimized Ac2BeHg2Au4 structure, with properties calculated at the PBE-GGA level.

The energy of formation from the pure elements comes out at -495 meV per atom.

The structure belongs to space group I4/mmm (No. 139); the cell edges are 6.947, 6.947 and 8.970 Å and the angles 90.00°, 90.00° and 90.00°. The asymmetric unit holds Ac at (0.000, 0.500, 0.250), Be at (0.000, 0.000, 0.000), Hg at (0.000, 0.000, 0.319) and Au at (0.236, 0.236, 0.000).



Below is a geometry-optimized AcBe2InAu5 structure, with properties calculated at the PBE-GGA level.

The energy of formation from the pure elements comes out at -273 meV per atom.

The structure belongs to space group P4/mmm (No. 123); the cell edges are 4.592, 4.592 and 8.936 Å and the angles 90.00°, 90.00° and 90.00°. The asymmetric unit holds Ac at (0.000, 0.000, 0.000), Be at (0.500, 0.500, 0.255), In at (0.000, 0.000, 0.500), Au at (0.000, 0.500, 0.304) and Au at (0.500, 0.500, 0.000).



Below is a geometry-optimized LiAcBeAu6 structure, with properties calculated at the PBE-GGA level.

The energy of formation from the pure elements comes out at -331 meV per atom.

The structure belongs to space group Imma (No. 74); the cell edges are 7.425, 8.973 and 11.008 Å and the angles 90.00°, 90.00° and 90.00°. The asymmetric unit holds Li at (0.250, 0.250, 0.250), Ac at (0.000, 0.250, 0.726), Be at (0.000, 0.000, 0.500), Au at (0.000, 0.250, 0.028), Au at (0.000, 0.250, 0.432) and Au at (0.225, 0.003, 0.123).



Below is a geometry-optimized AcMgBe2Au5 structure, with properties calculated at the PBE-GGA level.

The energy of formation from the pure elements comes out at -370 meV per atom.

The structure belongs to space group P4/mmm (No. 123); the cell edges are 4.749, 4.749 and 7.724 Å and the angles 90.00°, 90.00° and 90.00°. The asymmetric unit holds Ac at (0.000, 0.000, 0.000), Mg at (0.000, 0.000, 0.500), Be at (0.500, 0.500, 0.315), Au at (0.000, 0.500, 0.302) and Au at (0.500, 0.500, 0.000).



Below is a geometry-optimized AcMg2BeAu4 structure, with properties calculated at the PBE-GGA level.

The energy of formation from the pure elements comes out at -500 meV per atom.

The structure belongs to space group R-3m (No. 166, hexagonal axes); the cell edges are 4.5187, 4.5187 and 27.8246 Å and the angles 90.00°, 90.00° and 120.00°. The asymmetric unit holds Ac at (0.0000, 0.0000, 0.0000), Mg at (0.0000, 0.0000, 0.2338), Be at (0.0000, 0.0000, 0.5000), Au at (0.0000, 0.0000, 0.1363) and Au at (0.0000, 0.0000, 0.4062).



Below is a geometry-optimized Ac2BeAuO6 structure, with properties calculated at the PBE-GGA level.

As for the uncorrected formation energy: -20.872 eV/f.u.

The structure belongs to space group P2_1/c (No. 14); the cell edges are 5.758, 6.265 and 9.750 Å and the angles 90.00°, 121.21° and 90.00°. The asymmetric unit holds Ac at (0.233, 0.089, 0.241), Be at (0.500, 0.000, 0.000), Au at (0.000, 0.000, 0.500), O at (0.111, 0.219, 0.947), O at (0.211, 0.670, 0.926) and O at (0.439, 0.044, 0.834).



Below is a geometry-optimized Ac2BePdAu6 structure, with properties calculated at the PBE-GGA level.

The energy of formation from the pure elements comes out at -533 meV per atom.

The structure belongs to space group P-1 (No. 2); the cell edges are 6.075, 6.513 and 7.264 Å and the angles 69.89°, 65.42° and 62.35°. The asymmetric unit holds Ac at (0.216, 0.246, 0.324), Be at (0.000, 0.000, 0.000), Pd at (0.500, 0.500, 0.500), Au at (0.241, 0.643, 0.872), Au at (0.256, 0.214, 0.795) and Au at (0.265, 0.786, 0.205).



Below is a geometry-optimized Ac2Be3Pd12Au structure, with properties calculated at the PBE-GGA level.

The energy of formation from the pure elements comes out at -235 meV per atom.

The structure belongs to space group R-3m (No. 166, hexagonal axes); the cell edges are 8.1528, 8.1528 and 17.9238 Å and the angles 90.00°, 90.00° and 120.00°. The asymmetric unit holds Ac at (0.0000, 0.0000, 0.1086), Be at (0.0000, 0.5000, 0.0000), Pd at (0.0190, 0.5095, 0.8772), Pd at (0.0484, 0.5242, 0.3580) and Au at (0.0000, 0.0000, 0.5000).



Below is a geometry-optimized Ac2BePd6Au structure, with properties calculated at the PBE-GGA level.

The energy of formation from the pure elements comes out at -649 meV per atom.

The structure belongs to space group P-1 (No. 2); the cell edges are 5.629, 6.304 and 7.108 Å and the angles 75.31°, 66.79° and 63.75°. The asymmetric unit holds Ac at (0.231, 0.238, 0.298), Be at (0.000, 0.000, 0.000), Pd at (0.244, 0.618, 0.895), Pd at (0.247, 0.217, 0.784), Pd at (0.251, 0.783, 0.215) and Au at (0.500, 0.500, 0.500).



Below is a geometry-optimized Ac2BePt6Au structure, with properties calculated at the PBE-GGA level.

The energy of formation from the pure elements comes out at -773 meV per atom.

The structure belongs to space group P-1 (No. 2); the cell edges are 5.514, 6.521 and 7.029 Å and the angles 77.29°, 66.96° and 65.08°. The asymmetric unit holds Ac at (0.237, 0.225, 0.300), Be at (0.000, 0.000, 0.000), Pt at (0.244, 0.228, 0.780), Pt at (0.245, 0.605, 0.904), Pt at (0.253, 0.772, 0.220) and Au at (0.500, 0.500, 0.500).



Below is a geometry-optimized Ac2BeSiAu6 structure, with properties calculated at the PBE-GGA level.

As for the uncorrected formation energy: -5.234 eV/f.u.

The structure belongs to space group C2/m (No. 12); the cell edges are 9.634, 9.669 and 6.782 Å and the angles 90.00°, 134.60° and 90.00°. The asymmetric unit holds Ac at (0.000, 0.250, 0.000), Be at (0.000, 0.000, 0.500), Si at (0.000, 0.500, 0.500), Au at (0.000, 0.240, 0.500), Au at (0.240, 0.000, 0.500) and Au at (0.240, 0.000, 0.980).



Below is a geometry-optimized AcBeSi2Au8 structure, with properties calculated at the PBE-GGA level.

As for the uncorrected formation energy: -2.343 eV/f.u.

The structure belongs to space group C2/m (No. 12); the cell edges are 9.413, 6.074 and 8.883 Å and the angles 90.00°, 112.93° and 90.00°. The asymmetric unit holds Ac at (0.000, 0.000, 0.000), Be at (0.000, 0.000, 0.500), Si at (0.132, 0.500, 0.305), Au at (0.102, 0.263, 0.722), Au at (0.161, 0.500, 0.036) and Au at (0.192, 0.000, 0.402).



Below is a geometry-optimized Ac2Be4Si3Au structure, with properties calculated at the PBE-GGA level.

As for the uncorrected formation energy: -3.354 eV/f.u.

The structure belongs to space group P-4m2 (No. 115); the cell edges are 4.191, 4.191 and 9.937 Å and the angles 90.00°, 90.00° and 90.00°. The asymmetric unit holds Ac at (0.000, 0.500, 0.239), Be at (0.000, 0.000, 0.000), Be at (0.000, 0.500, 0.629), Be at (0.500, 0.500, 0.000), Si at (0.000, 0.500, 0.878), Si at (0.500, 0.500, 0.500) and Au at (0.000, 0.000, 0.500).



Below is a geometry-optimized Ac2Be3Si4Au structure, with properties calculated at the PBE-GGA level.

As for the uncorrected formation energy: -3.450 eV/f.u.

The structure belongs to space group P-4m2 (No. 115); the cell edges are 4.261, 4.261 and 9.993 Å and the angles 90.00°, 90.00° and 90.00°. The asymmetric unit holds Ac at (0.000, 0.500, 0.242), Be at (0.000, 0.500, 0.882), Be at (0.500, 0.500, 0.500), Si at (0.000, 0.000, 0.000), Si at (0.000, 0.500, 0.640), Si at (0.500, 0.500, 0.000) and Au at (0.000, 0.000, 0.500).



Below is a geometry-optimized AcBe2ZnAu5 structure, with properties calculated at the PBE-GGA level.

The energy of formation from the pure elements comes out at -283 meV per atom.

The structure belongs to space group P4/mmm (No. 123); the cell edges are 4.606, 4.606 and 8.302 Å and the angles 90.00°, 90.00° and 90.00°. The asymmetric unit holds Ac at (0.000, 0.000, 0.000), Be at (0.500, 0.500, 0.275), Zn at (0.000, 0.000, 0.500), Au at (0.000, 0.500, 0.322) and Au at (0.500, 0.500, 0.000).



Below is a geometry-optimized AcBeZn2Au4 structure, with properties calculated at the PBE-GGA level.

The energy of formation from the pure elements comes out at -370 meV per atom.

The structure belongs to space group R-3m (No. 166, hexagonal axes); the cell edges are 4.4652, 4.4652 and 27.0592 Å and the angles 90.00°, 90.00° and 120.00°. The asymmetric unit holds Ac at (0.0000, 0.0000, 0.0000), Be at (0.0000, 0.0000, 0.5000), Zn at (0.0000, 0.0000, 0.2384), Au at (0.0000, 0.0000, 0.1375) and Au at (0.0000, 0.0000, 0.4076).



no.,Fermi-level density of states (states/eV per cell)
1,11.56
2,2.75
3,8.79
4,2.95
5,8.26
6,3.53
7,11.01
8,3.87
9,12.81
10,14.24
11,4.60
12,14.71
13,3.47
14,3.90
15,6.99
16,8.04
17,3.29
18,2.75
19,2.34
20,12.69